1.
Entry from Alexandria: a relaxed structure of V3O5F (PBE with a Hubbard U).

Computed properties:
As for the volume: 11.74 A^3/atom. The total DFT energy (no corrections) comes out at -67.709 eV for the cell shown.

a = 5.0036 Å, b = 5.1286 Å, c = 5.4502 Å
α = 92.82°, β = 114.70°, γ = 118.80°
Last column: nearest neighbours and their distance in Å.
Space group P1 (No. 1)
Unique sites:
V 0.0000 0.0000 0.0000 x1  4 O 1.83-1.94
V 0.0698 0.5561 0.5312 x1  5 O 1.97-2.08, 1 F 2.18
V 0.6662 0.3412 0.9205 x1  4 O 1.76-1.97
O 0.0770 0.7375 0.2139 x1  3 V 1.90-2.01
O 0.1957 0.9554 0.7759 x1  3 V 1.92-2.04
O 0.5345 0.6204 0.7604 x1  3 V 1.94-1.97
O 0.8546 0.2723 0.7354 x1  1 V 1.76
O 0.8914 0.1770 0.2114 x1  2 V 1.83-2.01
F 0.5225 0.3932 0.2361 x1  3 V 2.10-2.18


2.
Entry from Alexandria: a relaxed structure of V4OF11 (PBE with a Hubbard U).

Computed properties:
As for the volume: 13.60 A^3/atom. The total DFT energy (no corrections) comes out at -99.732 eV for the cell shown.

a = 5.2523 Å, b = 5.4517 Å, c = 7.6115 Å
α = 92.88°, β = 90.23°, γ = 90.42°
Last column: nearest neighbours and their distance in Å.
Space group P1 (No. 1)
Unique sites:
V 0.0000 0.0000 0.0000 x1  5 F 1.96-2.00, 1 O 1.99
V 0.0013 0.0010 0.4995 x1  6 F 1.96-1.98
V 0.4750 0.4815 0.0041 x1  1 O 1.69
V 0.5021 0.5018 0.4998 x1  6 F 1.96-1.99
O 0.2275 0.2908 0.0370 x1  1 V 1.69
F 0.0960 0.9840 0.7484 x1  2 V 1.96-1.98
F 0.1945 0.6961 0.4470 x1  2 V 1.98-1.99
F 0.2913 0.7900 0.0536 x1  2 V 1.97
F 0.3100 0.1956 0.4508 x1  2 V 1.96-1.98
F 0.4045 0.5048 0.7499 x1  2 V 1.97-1.98
F 0.6016 0.5021 0.2492 x1  2 V 1.98
F 0.6920 0.8085 0.5475 x1  2 V 1.96-1.97
F 0.7133 0.2125 0.9444 x1  2 V 1.96-1.97
F 0.7740 0.7046 0.9605 x1  2 V 2.00-2.02
F 0.8096 0.3067 0.5509 x1  2 V 1.98-1.99
F 0.9023 0.0116 0.2505 x1  2 V 1.97


What did the second record say?
Entry from Alexandria: a relaxed structure of V4OF11 (PBE with a Hubbard U).

Computed properties:
As for the volume: 13.60 A^3/atom. The total DFT energy (no corrections) comes out at -99.732 eV for the cell shown.

a = 5.2523 Å, b = 5.4517 Å, c = 7.6115 Å
α = 92.88°, β = 90.23°, γ = 90.42°
Last column: nearest neighbours and their distance in Å.
Space group P1 (No. 1)
Unique sites:
V 0.0000 0.0000 0.0000 x1  5 F 1.96-2.00, 1 O 1.99
V 0.0013 0.0010 0.4995 x1  6 F 1.96-1.98
V 0.4750 0.4815 0.0041 x1  1 O 1.69
V 0.5021 0.5018 0.4998 x1  6 F 1.96-1.99
O 0.2275 0.2908 0.0370 x1  1 V 1.69
F 0.0960 0.9840 0.7484 x1  2 V 1.96-1.98
F 0.1945 0.6961 0.4470 x1  2 V 1.98-1.99
F 0.2913 0.7900 0.0536 x1  2 V 1.97
F 0.3100 0.1956 0.4508 x1  2 V 1.96-1.98
F 0.4045 0.5048 0.7499 x1  2 V 1.97-1.98
F 0.6016 0.5021 0.2492 x1  2 V 1.98
F 0.6920 0.8085 0.5475 x1  2 V 1.96-1.97
F 0.7133 0.2125 0.9444 x1  2 V 1.96-1.97
F 0.7740 0.7046 0.9605 x1  2 V 2.00-2.02
F 0.8096 0.3067 0.5509 x1  2 V 1.98-1.99
F 0.9023 0.0116 0.2505 x1  2 V 1.97


Among the records above, which one has the lowest V? V3O5F